DFT (GGA-PBE) results for a relaxed ReSb2Os crystal.

Unit cell a=3.195 b=4.343 c=5.449 alpha=90.00 beta=90.00 gamma=90.00
Atoms (fractional coordinates):
Re  0.000  0.000  0.000
Sb  0.000  0.500  0.500
Sb  0.500  0.500  0.000
Os  0.500  0.000  0.500

Space-group type: Pmmm
Total magnetization (μB/atom): 0.000
N(E_F) (states/eV/f.u.): 3.913
Raw formation energy (meV/atom): 1011

=====

DFT (GGA-PBE) results for a relaxed LiMnCl3 crystal.

Unit cell a=8.506 b=8.506 c=6.601 alpha=98.50 beta=98.50 gamma=85.09
Atoms (fractional coordinates):
Li  0.098  0.902  0.750
Li  0.245  0.755  0.250
Li  0.755  0.245  0.750
Li  0.902  0.098  0.250
Mn  0.210  0.399  0.704
Mn  0.399  0.210  0.204
Mn  0.601  0.790  0.796
Mn  0.790  0.601  0.296
Cl  0.028  0.199  0.622
Cl  0.129  0.638  0.891
Cl  0.199  0.028  0.122
Cl  0.288  0.451  0.384
Cl  0.362  0.871  0.609
Cl  0.451  0.288  0.884
Cl  0.549  0.712  0.116
Cl  0.638  0.129  0.391
Cl  0.712  0.549  0.616
Cl  0.801  0.972  0.878
Cl  0.871  0.362  0.109
Cl  0.972  0.801  0.378

Space-group type: C2/c
Total magnetization (μB/atom): 1.000
N(E_F) (states/eV/f.u.): 0.000
Raw formation energy (meV/atom): -1346

=====

DFT (GGA-PBE) results for a relaxed CsZnSiHg2 crystal.

Unit cell a=5.686 b=5.686 c=4.870 alpha=90.00 beta=90.00 gamma=90.00
Atoms (fractional coordinates):
Cs  0.000  0.000  0.000
Zn  0.500  0.500  0.000
Si  0.500  0.500  0.500
Hg  0.000  0.500  0.500
Hg  0.500  0.000  0.500

Space-group type: P4/mmm
Total magnetization (μB/atom): 0.000
N(E_F) (states/eV/f.u.): 1.997
Raw formation energy (meV/atom): 90

=====

DFT (GGA-PBE) results for a relaxed ErTh2Rh5 crystal.

Unit cell a=5.937 b=11.674 c=4.473 alpha=90.00 beta=90.00 gamma=90.00
Atoms (fractional coordinates):
Er  0.000  0.000  0.000
Er  0.500  0.500  0.000
Th  0.150  0.353  0.500
Th  0.350  0.853  0.500
Th  0.650  0.147  0.500
Th  0.850  0.647  0.500
Rh  0.000  0.500  0.000
Rh  0.100  0.749  0.000
Rh  0.177  0.109  0.500
Rh  0.323  0.609  0.500
Rh  0.400  0.249  0.000
Rh  0.500  0.000  0.000
Rh  0.600  0.751  0.000
Rh  0.677  0.391  0.500
Rh  0.823  0.891  0.500
Rh  0.900  0.251  0.000

Space-group type: Pbam
Total magnetization (μB/atom): 0.000
Energy relative to the elements (meV per atom): -841
N(E_F) (states/eV/f.u.): 4.616

=====

DFT (GGA-PBE) results for a relaxed LaZr2Ni2 crystal.

Unit cell a=6.089 b=6.089 c=6.089 alpha=134.65 beta=134.65 gamma=66.07
Atoms (fractional coordinates):
La  0.000  0.000  0.000
Zr  0.345  0.345  0.000
Zr  0.655  0.655  0.000
Ni  0.250  0.750  0.500
Ni  0.750  0.250  0.500

Space-group type: I4/mmm
Total magnetization (μB/atom): 0.000
Energy relative to the elements (meV per atom): -43
N(E_F) (states/eV/f.u.): 5.393

=====

DFT (GGA-PBE) results for a relaxed La3Ag5S12 crystal.

Unit cell a=13.554 b=13.554 c=13.554 alpha=109.47 beta=109.47 gamma=109.47
Atoms (fractional coordinates):
La  0.125  0.250  0.375
La  0.125  0.375  0.750
La  0.250  0.375  0.125
La  0.250  0.875  0.625
La  0.375  0.125  0.250
La  0.375  0.750  0.125
La  0.625  0.250  0.875
La  0.625  0.875  0.750
La  0.750  0.125  0.375
La  0.750  0.625  0.875
La  0.875  0.625  0.250
La  0.875  0.750  0.625
Ag  0.000  0.000  0.000
Ag  0.000  0.000  0.500
Ag  0.000  0.500  0.000
Ag  0.000  0.500  0.500
Ag  0.125  0.750  0.875
Ag  0.125  0.875  0.250
Ag  0.250  0.125  0.875
Ag  0.250  0.625  0.375
Ag  0.375  0.250  0.625
Ag  0.375  0.625  0.750
Ag  0.500  0.000  0.000
Ag  0.500  0.000  0.500
Ag  0.500  0.500  0.000
Ag  0.500  0.500  0.500
Ag  0.625  0.375  0.250
Ag  0.625  0.750  0.375
Ag  0.750  0.375  0.625
Ag  0.750  0.875  0.125
Ag  0.875  0.125  0.750
Ag  0.875  0.250  0.125
S  0.038  0.207  0.127
S  0.038  0.331  0.912
S  0.081  0.707  0.669
S  0.081  0.873  0.412
S  0.088  0.627  0.419
S  0.088  0.962  0.669
S  0.127  0.038  0.207
S  0.127  0.588  0.919
S  0.169  0.207  0.581
S  0.169  0.462  0.588
S  0.207  0.127  0.038
S  0.207  0.581  0.169
S  0.293  0.331  0.919
S  0.293  0.462  0.373
S  0.331  0.912  0.038
S  0.331  0.919  0.293
S  0.373  0.293  0.462
S  0.373  0.581  0.912
S  0.412  0.081  0.873
S  0.412  0.831  0.538
S  0.419  0.088  0.627
S  0.419  0.831  0.793
S  0.462  0.373  0.293
S  0.462  0.588  0.169
S  0.538  0.412  0.831
S  0.538  0.627  0.707
S  0.581  0.169  0.207
S  0.581  0.912  0.373
S  0.588  0.169  0.462
S  0.588  0.919  0.127
S  0.627  0.419  0.088
S  0.627  0.707  0.538
S  0.669  0.081  0.707
S  0.669  0.088  0.962
S  0.707  0.538  0.627
S  0.707  0.669  0.081
S  0.793  0.419  0.831
S  0.793  0.873  0.962
S  0.831  0.538  0.412
S  0.831  0.793  0.419
S  0.873  0.412  0.081
S  0.873  0.962  0.793
S  0.912  0.038  0.331
S  0.912  0.373  0.581
S  0.919  0.127  0.588
S  0.919  0.293  0.331
S  0.962  0.669  0.088
S  0.962  0.793  0.873

Space-group type: Ia-3d
Total magnetization (μB/atom): 0.000
N(E_F) (states/eV/f.u.): 15.787
Raw formation energy (meV/atom): -575

=====

DFT (GGA-PBE) results for a relaxed K3Ga4Pt4 crystal.

Unit cell a=6.878 b=6.878 c=6.878 alpha=109.47 beta=109.47 gamma=109.47
Atoms (fractional coordinates):
K  0.000  0.500  0.500
K  0.500  0.000  0.500
K  0.500  0.500  0.000
Ga  0.000  0.000  0.376
Ga  0.000  0.376  0.000
Ga  0.376  0.000  0.000
Ga  0.624  0.624  0.624
Pt  0.000  0.000  0.734
Pt  0.000  0.734  0.000
Pt  0.266  0.266  0.266
Pt  0.734  0.000  0.000

Space-group type: I-43m
Total magnetization (μB/atom): 0.000
Energy relative to the elements (meV per atom): -467
N(E_F) (states/eV/f.u.): 3.464

=====

DFT (GGA-PBE) results for a relaxed Pm4Ni3C5 crystal.

Unit cell a=6.102 b=6.102 c=9.415 alpha=111.56 beta=111.56 gamma=35.96
Atoms (fractional coordinates):
Pm  0.104  0.104  0.408
Pm  0.260  0.260  0.833
Pm  0.740  0.740  0.167
Pm  0.896  0.896  0.592
Ni  0.000  0.000  0.000
Ni  0.451  0.451  0.165
Ni  0.549  0.549  0.835
C  0.305  0.305  0.381
C  0.396  0.396  0.325
C  0.500  0.500  0.000
C  0.604  0.604  0.675
C  0.695  0.695  0.619

Space-group type: C2/m
Total magnetization (μB/atom): 0.000
Energy relative to the elements (meV per atom): -275
N(E_F) (states/eV/f.u.): 6.425

=====

Q: Look up the N(E_F) of the eighth one.
A: 6.425 states/eV/f.u.

=====

Please write out number 5 again, unchanged.
DFT (GGA-PBE) results for a relaxed LaZr2Ni2 crystal.

Unit cell a=6.089 b=6.089 c=6.089 alpha=134.65 beta=134.65 gamma=66.07
Atoms (fractional coordinates):
La  0.000  0.000  0.000
Zr  0.345  0.345  0.000
Zr  0.655  0.655  0.000
Ni  0.250  0.750  0.500
Ni  0.750  0.250  0.500

Space-group type: I4/mmm
Total magnetization (μB/atom): 0.000
Energy relative to the elements (meV per atom): -43
N(E_F) (states/eV/f.u.): 5.393

=====

Copy entry 4 word for word.
DFT (GGA-PBE) results for a relaxed ErTh2Rh5 crystal.

Unit cell a=5.937 b=11.674 c=4.473 alpha=90.00 beta=90.00 gamma=90.00
Atoms (fractional coordinates):
Er  0.000  0.000  0.000
Er  0.500  0.500  0.000
Th  0.150  0.353  0.500
Th  0.350  0.853  0.500
Th  0.650  0.147  0.500
Th  0.850  0.647  0.500
Rh  0.000  0.500  0.000
Rh  0.100  0.749  0.000
Rh  0.177  0.109  0.500
Rh  0.323  0.609  0.500
Rh  0.400  0.249  0.000
Rh  0.500  0.000  0.000
Rh  0.600  0.751  0.000
Rh  0.677  0.391  0.500
Rh  0.823  0.891  0.500
Rh  0.900  0.251  0.000

Space-group type: Pbam
Total magnetization (μB/atom): 0.000
Energy relative to the elements (meV per atom): -841
N(E_F) (states/eV/f.u.): 4.616